# 1
DFT (GGA-PBE) results for a relaxed structure of NiB2PdBr.

Structure (CIF):
```
data_NiB2PdBr
_chemical_formula_sum 'Ni1 B2 Pd1 Br1'
_space_group_name_H-M_alt 'P 1'
_space_group_IT_number 1
_cell_length_a 4.175
_cell_length_b 4.302
_cell_length_c 4.175
_cell_angle_alpha 90.00
_cell_angle_beta 90.00
_cell_angle_gamma 90.00
loop_
_space_group_symop_operation_xyz
'x,y,z'
loop_
_atom_site_label
_atom_site_type_symbol
_atom_site_fract_x
_atom_site_fract_y
_atom_site_fract_z
Ni1 Ni 0.000 0.500 0.000
B1 B 0.000 0.000 0.500
B2 B 0.500 0.000 0.000
Br1 Br 0.000 0.000 0.000
Pd1 Pd 0.500 0.500 0.500
```

ΔE_f (raw) in eV/atom: 2.027

---

# 2
DFT (GGA-PBE) results for a relaxed structure of SiSeN2.

Structure (CIF):
```
data_SiSeN2
_chemical_formula_sum 'Si1 Se1 N2'
_space_group_name_H-M_alt 'P 1'
_space_group_IT_number 1
_cell_length_a 6.215
_cell_length_b 6.215
_cell_length_c 6.215
_cell_angle_alpha 26.75
_cell_angle_beta 26.75
_cell_angle_gamma 26.75
loop_
_space_group_symop_operation_xyz
'x,y,z'
loop_
_atom_site_label
_atom_site_type_symbol
_atom_site_fract_x
_atom_site_fract_y
_atom_site_fract_z
Si1 Si 0.500 0.500 0.500
Se1 Se 0.000 0.000 0.000
N1 N 0.887 0.887 0.887
N2 N 0.113 0.113 0.113
```

ΔE_f (raw) in eV/atom: -0.015
Energy relative to the lowest polymorph listed for this composition in meV/atom: 0

---

# 3
DFT (GGA-PBE) results for a relaxed structure of YNi2B4.

Structure (CIF):
```
data_YNi2B4
_chemical_formula_sum 'Y1 Ni2 B4'
_space_group_name_H-M_alt 'P 1'
_space_group_IT_number 1
_cell_length_a 3.117
_cell_length_b 3.325
_cell_length_c 7.242
_cell_angle_alpha 103.27
_cell_angle_beta 102.43
_cell_angle_gamma 90.00
loop_
_space_group_symop_operation_xyz
'x,y,z'
loop_
_atom_site_label
_atom_site_type_symbol
_atom_site_fract_x
_atom_site_fract_y
_atom_site_fract_z
Y1 Y 0.500 0.000 0.000
Ni1 Ni 0.802 0.802 0.604
Ni2 Ni 0.198 0.198 0.396
B1 B 0.652 0.652 0.304
B2 B 0.348 0.348 0.696
B3 B 0.107 0.607 0.215
B4 B 0.893 0.393 0.785
```

E in eV/atom: -6.7011